[1]
# CaPrBr5 (PBE-GGA, relaxed)
# - magnetic moment (μB/f.u.) = 0.00
# - final energy (Ry per atom) = -0.298
# - space group = P2_1/m (11)
# - uncorrected formation energy (eV/atom) = -1.897
data_CaPrBr5
_cell_length_a 8.641
_cell_length_b 4.271
_cell_length_c 14.051
_cell_angle_alpha 90.00
_cell_angle_beta 94.26
_cell_angle_gamma 90.00
_symmetry_space_group_name_H-M 'P 1'
_symmetry_Int_Tables_number 1
loop_
_symmetry_equiv_pos_as_xyz
'x,y,z'
loop_
_atom_site_label
_atom_site_type_symbol
_atom_site_fract_x
_atom_site_fract_y
_atom_site_fract_z
Ca1 Ca 0.085 0.250 0.133
Ca2 Ca 0.915 0.750 0.867
Pr1 Pr 0.414 0.750 0.346
Pr2 Pr 0.586 0.250 0.654
Br1 Br 0.076 0.750 0.309
Br2 Br 0.133 0.250 0.927
Br3 Br 0.320 0.250 0.483
Br4 Br 0.340 0.750 0.135
Br5 Br 0.381 0.750 0.708
Br6 Br 0.619 0.250 0.292
Br7 Br 0.660 0.250 0.865
Br8 Br 0.680 0.750 0.517
Br9 Br 0.867 0.750 0.073
Br10 Br 0.924 0.250 0.691

=====

[2]
# CaPrBr6 (PBE-GGA, relaxed)
# - magnetic moment (μB/f.u.) = 0.00
# - final energy (Ry per atom) = -0.267
# - space group = Fm-3m (225)
# - uncorrected formation energy (eV/atom) = -1.525
data_CaPrBr6
_cell_length_a 8.188
_cell_length_b 8.188
_cell_length_c 8.188
_cell_angle_alpha 60.00
_cell_angle_beta 60.00
_cell_angle_gamma 60.00
_symmetry_space_group_name_H-M 'P 1'
_symmetry_Int_Tables_number 1
loop_
_symmetry_equiv_pos_as_xyz
'x,y,z'
loop_
_atom_site_label
_atom_site_type_symbol
_atom_site_fract_x
_atom_site_fract_y
_atom_site_fract_z
Ca1 Ca 0.000 0.000 0.000
Pr1 Pr 0.500 0.500 0.500
Br1 Br 0.249 0.249 0.751
Br2 Br 0.249 0.751 0.249
Br3 Br 0.249 0.751 0.751
Br4 Br 0.751 0.249 0.249
Br5 Br 0.751 0.249 0.751
Br6 Br 0.751 0.751 0.249